1.
This record from OQMD describes a relaxed structure of Pt4O11. The functional is PBE-GGA.

Unit cell a=4.8223 b=5.2172 c=7.8430 alpha=78.97 beta=76.37 gamma=81.20
Last column: nearest neighbours and their distance in Å.
Space group P1 (No. 1)
Asymmetric unit:
Pt1 0.0000 0.0000 0.0000 [1 per cell]  6 O 1.95-2.04
Pt2 0.0727 0.2235 0.3940 [1 per cell]  4 O 1.89-2.11
Pt3 0.1570 0.5338 0.8095 [1 per cell]  6 O 1.93-2.12
Pt4 0.5529 0.4707 0.4563 [1 per cell]  5 O 1.94-2.03
O1 0.0820 0.9956 0.2323 [1 per cell]  2 Pt 1.89-1.95
O2 0.1287 0.4885 0.5517 [1 per cell]  3 Pt 2.00-2.12
O3 0.2197 0.6422 0.0186 [1 per cell]  2 Pt 1.93-2.00
O4 0.3383 0.1692 0.8686 [1 per cell]  2 Pt 1.95-1.99
O5 0.4521 0.3181 0.2715 [1 per cell]  2 Pt 1.94-1.97
O6 0.5283 0.6418 0.6640 [1 per cell]  2 Pt 1.97-1.98
O7 0.6037 0.8327 0.3118 [1 per cell]  1 O 1.33
O8 0.6378 0.8357 0.1388 [1 per cell]  1 O 1.33
O9 0.7225 0.1308 0.5560 [1 per cell]  2 Pt 1.92-1.94
O10 0.8168 0.3621 0.9400 [1 per cell]  2 Pt 1.96-1.98
O11 0.9347 0.8848 0.7923 [1 per cell]  2 Pt 1.95-1.97

Computed properties:
- Volume: 187.01 Å³/cell
- Offset from the most stable computed form: 0 meV per atom
- Spin magnetization: 1.91 Bohr magnetons per cell

***

2.
This record from OQMD describes a relaxed structure of CdBPd2. The functional is PBE-GGA.

Unit cell a=6.1671 b=6.1671 c=6.1671 alpha=90.00 beta=90.00 gamma=90.00
Last column: nearest neighbours and their distance in Å.
Space group F-43m (No. 216)
Asymmetric unit:
Cd1 0.0000 0.0000 0.0000 [4 per cell]  4 B 2.67, 4 Pd 2.67
B1 0.2500 0.2500 0.7500 [4 per cell]  4 Pd 2.67, 4 Cd 2.67
Pd1 0.0000 0.0000 0.5000 [4 per cell]  4 Pd 2.67, 4 B 2.67
Pd2 0.2500 0.2500 0.2500 [4 per cell]  4 Cd 2.67, 4 Pd 2.67

Computed properties:
- Volume: 234.55 Å³/cell
- VASP energy: -3.96 eV/atom

***

3.
This record from OQMD describes a relaxed structure of Dy3Sc3Bi2Os. The functional is PBE-GGA.

Unit cell a=7.9534 b=7.9534 c=4.2265 alpha=90.00 beta=90.00 gamma=120.00
Last column: nearest neighbours and their distance in Å.
Space group P-62m (No. 189)
Asymmetric unit:
Dy1 0.0000 0.3859 0.0000 [3 per cell]  1 Os 3.07, 4 Bi 3.25, 4 Sc 3.40
Sc1 0.0000 0.7775 0.5000 [3 per cell]  2 Os 2.76, 2 Sc 3.06
Bi1 0.3333 0.6667 0.5000 [2 per cell]  3 Sc 3.18, 6 Dy 3.25
Os1 0.0000 0.0000 0.0000 [1 per cell]  6 Sc 2.76, 3 Dy 3.07

Computed properties:
- Volume: 231.53 Å³/cell
- Offset from the most stable computed form: 0 meV per atom
- Spin magnetization: 0.02 Bohr magnetons per cell

***

4.
This record from OQMD describes a relaxed structure of ThAg. The functional is PBE-GGA.

Unit cell a=6.6747 b=6.6747 c=6.6747 alpha=90.00 beta=90.00 gamma=90.00
Last column: nearest neighbours and their distance in Å.
Space group F-43m (No. 216)
Asymmetric unit:
Th1 0.0000 0.0000 0.0000 [4 per cell]  4 Ag 2.89
Ag1 0.2500 0.2500 0.2500 [4 per cell]  4 Th 2.89

Computed properties:
- Volume: 297.36 Å³/cell
- Spin magnetization: 1.40 Bohr magnetons per cell
- VASP energy: -4.19 eV/atom

***

5.
This record from OQMD describes a relaxed structure of In2Re. The functional is PBE-GGA.

Unit cell a=11.9066 b=11.9066 c=11.9066 alpha=90.00 beta=90.00 gamma=90.00
Last column: nearest neighbours and their distance in Å.
Space group Fd-3m (No. 227, origin choice 2)
Asymmetric unit:
In1 0.0000 0.0000 0.0000 [16 per cell]  2 Re 2.58
Re1 0.1250 0.1250 0.1250 [8 per cell]  4 In 2.58

Computed properties:
- Volume: 1687.95 Å³/cell
- Spin magnetization: 0.04 Bohr magnetons per cell
- VASP energy: -4.24 eV/atom

***

6.
This record from OQMD describes a relaxed structure of BaAsAu. The functional is PBE-GGA.

Unit cell a=8.5645 b=8.5645 c=4.0950 alpha=90.00 beta=90.00 gamma=120.00
Last column: nearest neighbours and their distance in Å.
Space group P-62m (No. 189)
Asymmetric unit:
Ba1 0.0000 0.2819 0.0000 [3 per cell]  4 As 3.10-3.17
As1 0.0000 0.0000 0.5000 [1 per cell]  6 Ba 3.17, 3 Au 3.31
As2 0.3333 0.6667 0.0000 [2 per cell]  3 Ba 3.10, 6 Au 3.36
Au1 0.0000 0.6140 0.5000 [3 per cell]  5 As 3.31-3.36, 6 Ba 3.50-3.60

Computed properties:
- Volume: 260.13 Å³/cell
- VASP energy: -3.62 eV/atom

***

7.
This record from OQMD describes a relaxed structure of HoTmCu2Ge2. The functional is PBE-GGA.

Unit cell a=4.2289 b=4.2289 c=7.2638 alpha=90.00 beta=90.00 gamma=120.00
Last column: nearest neighbours and their distance in Å.
Space group P3m1 (No. 156)
Asymmetric unit:
Ho1 0.0000 0.0000 0.0000 [1 per cell]  6 Cu 2.97-3.14, 6 Ge 2.97-3.13
Tm1 0.0000 0.0000 0.5003 [1 per cell]  6 Cu 2.95-3.13, 6 Ge 2.96-3.11
Cu1 0.3333 0.6667 0.2317 [1 per cell]  3 Ge 2.46
Cu2 0.6667 0.3333 0.7275 [1 per cell]  3 Ge 2.46
Ge1 0.3333 0.6667 0.7661 [1 per cell]  3 Cu 2.46
Ge2 0.6667 0.3333 0.2689 [1 per cell]  3 Cu 2.46

Computed properties:
- Volume: 112.50 Å³/cell
- Spin magnetization: 0.00 Bohr magnetons per cell
- VASP energy: -4.97 eV/atom

***

8.
This record from OQMD describes a relaxed structure of Li2DyNiP2. The functional is PBE-GGA.

Unit cell a=3.9899 b=3.9899 c=6.3128 alpha=90.00 beta=90.00 gamma=120.00
Last column: nearest neighbours and their distance in Å.
Space group P-3m1 (No. 164)
Asymmetric unit:
Li1 0.3333 0.6667 0.1478 [2 per cell]  4 P 2.37-2.41, 3 Ni 2.49
Dy1 0.0000 0.0000 0.5000 [1 per cell]  6 P 2.85, 2 Ni 3.16
Ni1 0.0000 0.0000 0.0000 [1 per cell]  6 Li 2.49, 6 P 2.74
P1 0.3333 0.6667 0.7661 [2 per cell]  4 Li 2.37-2.41

Computed properties:
- Volume: 87.03 Å³/cell
- Spin magnetization: 0.81 Bohr magnetons per cell
- VASP energy: -4.87 eV/atom

***

9.
This record from OQMD describes a relaxed structure of ZrNbCuSi. The functional is PBE-GGA.

Unit cell a=6.3991 b=6.3991 c=6.3991 alpha=90.00 beta=90.00 gamma=90.00
Last column: nearest neighbours and their distance in Å.
Space group F-43m (No. 216)
Asymmetric unit:
Zr1 0.0000 0.0000 0.0000 [4 per cell]  4 Nb 2.77, 4 Cu 2.77
Nb1 0.2500 0.2500 0.2500 [4 per cell]  4 Zr 2.77, 4 Si 2.77
Cu1 0.2500 0.2500 0.7500 [4 per cell]  4 Zr 2.77, 4 Si 2.77
Si1 0.0000 0.0000 0.5000 [4 per cell]  4 Nb 2.77, 4 Cu 2.77

Computed properties:
- Volume: 262.04 Å³/cell
- Offset from the most stable computed form: 0 meV per atom
- Spin magnetization: 0.15 Bohr magnetons per cell

***

10.
This record from OQMD describes a relaxed structure of BaLiLuS3. The functional is PBE-GGA.

Unit cell a=8.3918 b=4.0362 c=8.8683 alpha=90.00 beta=106.19 gamma=90.00
Last column: nearest neighbours and their distance in Å.
Space group P2_1/m (No. 11)
Asymmetric unit:
Ba1 0.2030 0.2500 0.2478 [2 per cell]  7 S 3.19-3.29, 1 Li 3.47
Li1 0.0868 0.2500 0.5936 [2 per cell]  4 S 2.38-2.43
Lu1 0.3265 0.7500 0.8441 [2 per cell]  6 S 2.67-2.72
S1 0.1182 0.2500 0.8682 [2 per cell]  1 Li 2.38
S2 0.2105 0.7500 0.5320 [2 per cell]  3 Li 2.40-2.43, 1 Lu 2.67
S3 0.4562 0.7500 0.1585 [2 per cell]  3 Lu 2.70-2.72

Computed properties:
- Volume: 288.47 Å³/cell
- Offset from the most stable computed form: 23 meV per atom
- Spin magnetization: 0.00 Bohr magnetons per cell

***

11.
This record from OQMD describes a relaxed structure of TbPrCu2P4. The functional is PBE-GGA.

Unit cell a=3.7709 b=3.7709 c=9.9313 alpha=90.00 beta=90.00 gamma=90.00
Last column: nearest neighbours and their distance in Å.
Space group P4mm (No. 99)
Asymmetric unit:
Tb1 0.0000 0.0000 0.0000 [1 per cell]  8 P 2.89-2.94, 4 Cu 3.21
Pr1 0.5000 0.5000 0.4657 [1 per cell]  8 P 2.94-3.03
Cu1 0.0000 0.5000 0.7387 [2 per cell]  4 P 2.39-2.40, 4 Cu 2.67
P1 0.0000 0.0000 0.5913 [1 per cell]  4 Cu 2.39
P2 0.0000 0.5000 0.2270 [2 per cell]  4 P 2.67, 2 Tb 2.94
P3 0.5000 0.5000 0.8886 [1 per cell]  4 Cu 2.40

Computed properties:
- Volume: 141.22 Å³/cell
- Spin magnetization: 0.00 Bohr magnetons per cell
- VASP energy: -5.66 eV/atom

***

12.
This record from OQMD describes a relaxed structure of Dy3Ho3Te2Os. The functional is PBE-GGA.

Unit cell a=8.2857 b=8.2857 c=4.0316 alpha=90.00 beta=90.00 gamma=120.00
Last column: nearest neighbours and their distance in Å.
Space group P-62m (No. 189)
Asymmetric unit:
Dy1 0.0000 0.3914 0.0000 [3 per cell]  1 Os 3.24, 4 Te 3.25, 4 Ho 3.48
Ho1 0.0000 0.7606 0.5000 [3 per cell]  2 Os 2.83
Te1 0.3333 0.6667 0.5000 [2 per cell]  3 Ho 3.22, 6 Dy 3.25
Os1 0.0000 0.0000 0.0000 [1 per cell]  6 Ho 2.83

Computed properties:
- Volume: 239.70 Å³/cell
- Offset from the most stable computed form: 0 meV per atom
- Spin magnetization: 0.01 Bohr magnetons per cell

***

13.
This record from OQMD describes a relaxed structure of HoMgAg4. The functional is PBE-GGA.

Unit cell a=5.5384 b=5.5384 c=13.5557 alpha=90.00 beta=90.00 gamma=120.00
Last column: nearest neighbours and their distance in Å.
Space group R3m (No. 160, hexagonal axes)
Asymmetric unit:
Ho1 0.0000 0.0000 0.0000 [3 per cell]  12 Ag 3.25, 4 Mg 3.39-3.40
Mg1 0.0000 0.0000 0.7492 [3 per cell]  12 Ag 3.23-3.25, 4 Ho 3.39-3.40
Ag1 0.0000 0.0000 0.3756 [3 per cell]  6 Ag 2.76-2.78
Ag2 0.1671 0.3343 0.2084 [9 per cell]  6 Ag 2.76-2.78

Computed properties:
- Volume: 360.10 Å³/cell
- Spin magnetization: 0.00 Bohr magnetons per cell
- VASP energy: -3.11 eV/atom

***

14.
This record from OQMD describes a relaxed structure of PrNbPO. The functional is PBE-GGA.

Unit cell a=4.6596 b=6.0131 c=5.8672 alpha=90.00 beta=90.00 gamma=90.00
Last column: nearest neighbours and their distance in Å.
Space group Pmc2_1 (No. 26)
Asymmetric unit:
Pr1 0.0000 0.2418 0.0000 [2 per cell]  2 O 2.45
Nb1 0.5000 0.3468 0.5742 [2 per cell]  2 O 2.05
P1 0.0000 0.2511 0.5075 [2 per cell]  2 Nb 2.43
O1 0.5000 0.3456 0.9229 [2 per cell]  2 Nb 2.05

Computed properties:
- Volume: 164.39 Å³/cell
- Offset from the most stable computed form: 446 meV per atom
- Spin magnetization: 0.02 Bohr magnetons per cell

***

15.
This record from OQMD describes a relaxed structure of CsU2S6. The functional is PBE-GGA.

Unit cell a=3.9035 b=5.1717 c=22.2498 alpha=90.00 beta=90.00 gamma=90.00
Last column: nearest neighbours and their distance in Å.
Space group Immm (No. 71)
Asymmetric unit:
Cs1 0.0000 0.0000 0.0000 [2 per cell]  8 S 3.53, 2 Cs 3.90
U1 0.0000 0.5000 0.1848 [4 per cell]  8 S 2.74-2.77
S1 0.0000 0.0000 0.2286 [4 per cell]  4 U 2.74-2.76
S2 0.0000 0.2527 0.3812 [8 per cell]  2 S 2.56-2.61, 2 U 2.77

Computed properties:
- Volume: 449.17 Å³/cell
- Spin magnetization: 7.03 Bohr magnetons per cell
- VASP energy: -6.55 eV/atom

***

16.
This record from OQMD describes a relaxed structure of CoNiGeS3. The functional is PBE-GGA.

Unit cell a=3.4523 b=12.6450 c=8.5952 alpha=90.00 beta=90.00 gamma=90.00
Last column: nearest neighbours and their distance in Å.
Space group Cmcm (No. 63)
Asymmetric unit:
Co1 0.0000 0.0244 0.2500 [4 per cell]  4 S 2.14-2.15
Ni1 0.0000 0.5000 0.0000 [4 per cell]  6 S 2.35-2.50
Ge1 0.0000 0.2718 0.7500 [4 per cell]  4 S 2.64
S1 0.0000 0.1365 0.0614 [8 per cell]  1 Co 2.15
S2 0.0000 0.4239 0.2500 [4 per cell]  2 Co 2.14, 2 Ni 2.35

Computed properties:
- Volume: 375.22 Å³/cell
- Offset from the most stable computed form: 128 meV per atom
- Spin magnetization: 0.50 Bohr magnetons per cell

***

17.
This record from OQMD describes a relaxed structure of LaPrB2Pt8. The functional is PBE-GGA.

Unit cell a=5.5217 b=5.5217 c=7.7092 alpha=90.00 beta=90.00 gamma=120.00
Last column: nearest neighbours and their distance in Å.
Space group P6/mmm (No. 191)
Asymmetric unit:
La1 0.0000 0.0000 0.0000 [1 per cell]  12 Pt 3.16, 6 B 3.19
Pr1 0.0000 0.0000 0.5000 [1 per cell]  6 Pt 3.19
B1 0.3333 0.6667 0.0000 [2 per cell]  6 Pt 2.21
Pt1 0.0000 0.5000 0.1992 [6 per cell]  2 B 2.21
Pt2 0.3333 0.6667 0.5000 [2 per cell]  6 Pt 2.81

Computed properties:
- Volume: 203.55 Å³/cell
- Offset from the most stable computed form: 14 meV per atom
- Spin magnetization: 0.01 Bohr magnetons per cell

***

18.
This record from OQMD describes a relaxed structure of ScFeSbIr. The functional is PBE-GGA.

Unit cell a=6.3570 b=6.3570 c=6.3570 alpha=90.00 beta=90.00 gamma=90.00
Last column: nearest neighbours and their distance in Å.
Space group F-43m (No. 216)
Asymmetric unit:
Sc1 0.0000 0.0000 0.0000 [4 per cell]  4 Ir 2.75, 4 Fe 2.75
Fe1 0.2500 0.2500 0.7500 [4 per cell]  4 Sb 2.75, 4 Sc 2.75
Sb1 0.0000 0.0000 0.5000 [4 per cell]  4 Fe 2.75, 4 Ir 2.75
Ir1 0.2500 0.2500 0.2500 [4 per cell]  4 Sb 2.75, 4 Sc 2.75

Computed properties:
- Volume: 256.90 Å³/cell
- Offset from the most stable computed form: 0 meV per atom
- Spin magnetization: 4.06 Bohr magnetons per cell

***

19.
This record from OQMD describes a relaxed structure of TlAsPtO. The functional is PBE-GGA.

Unit cell a=4.1346 b=4.1346 c=9.1234 alpha=90.00 beta=90.00 gamma=90.00
Last column: nearest neighbours and their distance in Å.
Space group P4/nmm (No. 129, origin choice 2)
Asymmetric unit:
Tl1 0.2500 0.2500 0.1166 [2 per cell]  4 O 2.33
As1 0.2500 0.2500 0.6575 [2 per cell]  4 Pt 2.52
Pt1 0.2500 0.7500 0.5000 [2 per cell]  4 As 2.52
O1 0.2500 0.7500 0.0000 [2 per cell]  4 Tl 2.33

Computed properties:
- Volume: 155.96 Å³/cell
- Offset from the most stable computed form: 0 meV per atom
- Spin magnetization: 0.01 Bohr magnetons per cell

***

20.
This record from OQMD describes a relaxed structure of Zr2Si3W4C3. The functional is PBE-GGA.

Unit cell a=9.3701 b=5.4203 c=13.3341 alpha=90.00 beta=103.57 gamma=90.00
Last column: nearest neighbours and their distance in Å.
Space group C2/c (No. 15)
Asymmetric unit:
Zr1 0.0445 0.0836 0.3840 [8 per cell]  3 C 2.33-2.35
Si1 0.0000 0.4881 0.7500 [4 per cell]  4 W 2.68-2.70, 4 Si 2.79-2.80, 2 Zr 2.90
Si2 0.2134 0.1275 0.7493 [8 per cell]  4 W 2.65-2.70, 4 Si 2.79-2.80, 2 Zr 2.88-2.89
W1 0.1103 0.4101 0.5844 [8 per cell]  3 C 2.09-2.16
W2 0.2258 0.4178 0.9152 [8 per cell]  3 C 2.09-2.16
C1 0.0822 0.2463 0.9999 [8 per cell]  4 W 2.09-2.16, 2 Zr 2.33
C2 0.2500 0.2500 0.5000 [4 per cell]  4 W 2.10-2.11, 2 Zr 2.35

Computed properties:
- Volume: 658.32 Å³/cell
- Spin magnetization: 0.02 Bohr magnetons per cell
- VASP energy: -9.71 eV/atom